Compound: RbUSe2O8
Source: Alexandria
Functional: PBE
Structure: relaxed

Results
Magnetic moment ... 0.00 μB per cell
DOS at the Fermi energy ... 3.50 states/eV/f.u.
Total DFT energy (no corrections) ... -6.43 eV/atom
Formation energy (no corrections) ... -1.52 eV per atom

```
data_RbUSe2O8
_chemical_formula_sum 'Rb1 U1 Se2 O8'
_cell_length_a 6.1721
_cell_length_b 6.1721
_cell_length_c 7.9124
_cell_angle_alpha 90.00
_cell_angle_beta 90.00
_cell_angle_gamma 120.00
_symmetry_space_group_name_H-M 'P -3 m 1'
_symmetry_Int_Tables_number 164
_symmetry_space_group_name_Hall '-P 3 2"'
loop_
_atom_site_label
_atom_site_type_symbol
_atom_site_fract_x
_atom_site_fract_y
_atom_site_fract_z
Rb1 Rb 0.0000 0.0000 0.0000
U1 U 0.0000 0.0000 0.5000
Se1 Se 0.3333 0.6667 0.2954
O1 O 0.1548 0.3096 0.3404
O2 O 0.3333 0.6667 0.0887
```